[1]
First-principles (PBE with a Hubbard U) data for a relaxed Cs2VPdO4 crystal, as listed in the Alexandria database.

Cell: 12.6689 11.2795 6.9137 Å, 84.66 62.43 32.91°
Element x y z (fractional)
Cs 0.0498 0.0498 0.7002
Cs 0.2998 0.2998 0.9502
Cs 0.7002 0.7002 0.0498
Cs 0.9502 0.9502 0.2998
V 0.1250 0.1250 0.1250
V 0.8750 0.8750 0.8750
Pd 0.3750 0.3750 0.3750
Pd 0.6250 0.6250 0.6250
O 0.0741 0.2708 0.3403
O 0.1852 0.6597 0.7292
O 0.2708 0.0741 0.8148
O 0.3403 0.8148 0.0741
O 0.6597 0.1852 0.9259
O 0.7292 0.9259 0.1852
O 0.8148 0.3403 0.2708
O 0.9259 0.7292 0.6597

## Properties
SG   Fddd (70)
Total energy   -91.30 eV per cell
Theoretical density   4.3 g cm⁻³

[2]
First-principles (PBE with a Hubbard U) data for a relaxed CsV2PdO8 crystal, as listed in the Alexandria database.

Cell: 5.2903 5.2903 8.7555 Å, 90.00 90.00 120.00°
Element x y z (fractional)
Cs 0.0000 0.0000 0.0000
V 0.3333 0.6667 0.6857
V 0.6667 0.3333 0.3143
Pd 0.0000 0.0000 0.5000
O 0.0375 0.3223 0.6318
O 0.2848 0.9625 0.6318
O 0.3223 0.2848 0.3682
O 0.3333 0.6667 0.8774
O 0.6667 0.3333 0.1226
O 0.6777 0.7152 0.6318
O 0.7152 0.0375 0.3682
O 0.9625 0.6777 0.3682

## Properties
SG   P-3 (147)
Total energy   -76.56 eV per cell
Theoretical density   3.7 g cm⁻³

Repeat the second record exactly.
First-principles (PBE with a Hubbard U) data for a relaxed CsV2PdO8 crystal, as listed in the Alexandria database.

Cell: 5.2903 5.2903 8.7555 Å, 90.00 90.00 120.00°
Element x y z (fractional)
Cs 0.0000 0.0000 0.0000
V 0.3333 0.6667 0.6857
V 0.6667 0.3333 0.3143
Pd 0.0000 0.0000 0.5000
O 0.0375 0.3223 0.6318
O 0.2848 0.9625 0.6318
O 0.3223 0.2848 0.3682
O 0.3333 0.6667 0.8774
O 0.6667 0.3333 0.1226
O 0.6777 0.7152 0.6318
O 0.7152 0.0375 0.3682
O 0.9625 0.6777 0.3682

## Properties
SG   P-3 (147)
Total energy   -76.56 eV per cell
Theoretical density   3.7 g cm⁻³